(1)
A relaxed Dy2Cu2Pt crystal, computed with PBE.

Properties
ΔH_f (0 K) (eV per atom): -0.616
Crystal system: monoclinic
Energy above the most stable polymorph in this dataset (eV/atom): 0.000

Lattice parameters (Å, degrees): 5.461 5.461 10.815 111.43 111.43 43.05
Fractional coordinates of all 10 atoms:
Dy 0.012 0.012 0.339
Dy 0.191 0.191 0.118
Dy 0.809 0.809 0.882
Dy 0.988 0.988 0.661
Cu 0.363 0.363 0.451
Cu 0.472 0.472 0.105
Cu 0.528 0.528 0.895
Cu 0.637 0.637 0.549
Pt 0.288 0.288 0.679
Pt 0.712 0.712 0.321

---

(2)
A relaxed Dy7Cu2Pt2 crystal, computed with PBE.

Properties
ΔH_f (0 K) (eV per atom): -0.368
Crystal system: orthorhombic

Lattice parameters (Å, degrees): 6.625 6.625 7.108 90.00 90.00 108.17
Fractional coordinates of all 11 atoms:
Dy 0.000 0.000 0.000
Dy 0.000 0.500 0.266
Dy 0.000 0.500 0.734
Dy 0.500 0.000 0.266
Dy 0.500 0.000 0.734
Dy 0.500 0.500 0.262
Dy 0.500 0.500 0.738
Cu 0.181 0.181 0.500
Cu 0.819 0.819 0.500
Pt 0.287 0.713 0.000
Pt 0.713 0.287 0.000

---

(3)
A relaxed DyCu2Pt2 crystal, computed with PBE.

Properties
ΔH_f (0 K) (eV per atom): -0.570
Crystal system: tetragonal

Lattice parameters (Å, degrees): 11.724 11.724 11.724 160.77 160.77 27.33
Fractional coordinates of all 10 atoms:
Dy 0.128 0.128 0.000
Dy 0.872 0.872 0.000
Cu 0.000 0.500 0.500
Cu 0.322 0.322 0.000
Cu 0.500 0.000 0.500
Cu 0.678 0.678 0.000
Pt 0.250 0.750 0.500
Pt 0.428 0.428 0.000
Pt 0.572 0.572 0.000
Pt 0.750 0.250 0.500

---

(4)
A relaxed DyCuPt6 crystal, computed with PBE.

Properties
ΔH_f (0 K) (eV per atom): -0.543
Crystal system: tetragonal

Lattice parameters (Å, degrees): 4.033 4.033 7.987 90.00 90.00 90.00
Fractional coordinates of all 8 atoms:
Dy 0.000 0.000 0.000
Cu 0.000 0.000 0.500
Pt 0.000 0.500 0.266
Pt 0.000 0.500 0.734
Pt 0.500 0.000 0.266
Pt 0.500 0.000 0.734
Pt 0.500 0.500 0.000
Pt 0.500 0.500 0.500

---

(5)
A relaxed DyCu5Pt2 crystal, computed with PBE.

Properties
ΔH_f (0 K) (eV per atom): -0.243
Crystal system: orthorhombic

Lattice parameters (Å, degrees): 6.180 6.180 6.180 143.73 107.69 83.68
Fractional coordinates of all 8 atoms:
Dy 0.000 0.000 0.000
Cu 0.187 0.362 0.825
Cu 0.462 0.638 0.825
Cu 0.500 0.000 0.500
Cu 0.538 0.362 0.175
Cu 0.813 0.638 0.175
Pt 0.227 0.727 0.500
Pt 0.773 0.273 0.500

---

(6)
A relaxed DyCuPt crystal, computed with PBE.

Properties
ΔH_f (0 K) (eV per atom): -0.597
Crystal system: orthorhombic
Energy above the most stable polymorph in this dataset (eV/atom): 0.241

Lattice parameters (Å, degrees): 6.751 6.751 4.453 90.00 90.00 146.42
Fractional coordinates of all 6 atoms:
Dy 0.100 0.900 0.750
Dy 0.900 0.100 0.250
Cu 0.407 0.593 0.750
Cu 0.593 0.407 0.250
Pt 0.240 0.760 0.250
Pt 0.760 0.240 0.750

---

(7)
A relaxed DyCuPt crystal, computed with PBE.

Properties
ΔH_f (0 K) (eV per atom): -0.837
Crystal system: orthorhombic
Energy above the most stable polymorph in this dataset (eV/atom): 0.000

Lattice parameters (Å, degrees): 4.027 4.054 7.017 90.00 90.00 90.00
Fractional coordinates of all 6 atoms:
Dy 0.250 0.250 0.166
Dy 0.750 0.750 0.834
Cu 0.250 0.750 0.501
Cu 0.750 0.250 0.499
Pt 0.250 0.250 0.747
Pt 0.750 0.750 0.253

---

(8)
A relaxed Dy2CuPt crystal, computed with PBE.

Properties
ΔH_f (0 K) (eV per atom): -0.822
Crystal system: monoclinic

Lattice parameters (Å, degrees): 5.538 4.499 7.498 90.00 109.85 90.00
Fractional coordinates of all 8 atoms:
Dy 0.221 0.250 0.434
Dy 0.224 0.250 0.928
Dy 0.776 0.750 0.072
Dy 0.779 0.750 0.566
Cu 0.341 0.750 0.209
Cu 0.659 0.250 0.791
Pt 0.343 0.750 0.712
Pt 0.657 0.250 0.288

---

(9)
A relaxed DyCu2Pt5 crystal, computed with PBE.

Properties
ΔH_f (0 K) (eV per atom): -0.367
Crystal system: orthorhombic

Lattice parameters (Å, degrees): 6.368 6.368 6.368 145.93 107.50 82.59
Fractional coordinates of all 8 atoms:
Dy 0.000 0.000 0.000
Cu 0.233 0.733 0.500
Cu 0.767 0.267 0.500
Pt 0.160 0.354 0.806
Pt 0.453 0.646 0.806
Pt 0.500 0.000 0.500
Pt 0.547 0.354 0.194
Pt 0.840 0.646 0.194

---

(10)
A relaxed DyCuSi2Pt5 crystal, computed with PBE.

Properties
Crystal system: tetragonal
ΔE_f (raw) (eV per atom): -0.61

Lattice parameters (Å, degrees): 4.036 4.036 10.387 90.00 90.00 90.00
Fractional coordinates of all 9 atoms:
Dy 0.000 0.000 0.000
Cu 0.000 0.000 0.500
Si 0.500 0.500 0.226
Si 0.500 0.500 0.774
Pt 0.000 0.500 0.344
Pt 0.000 0.500 0.656
Pt 0.500 0.000 0.344
Pt 0.500 0.000 0.656
Pt 0.500 0.500 0.000

---

(11)
A relaxed Dy2CuSi4Pt3 crystal, computed with PBE.

Properties
Crystal system: tetragonal
ΔE_f (raw) (eV per atom): -0.98

Lattice parameters (Å, degrees): 4.140 4.140 9.988 90.00 90.00 90.00
Fractional coordinates of all 10 atoms:
Dy 0.000 0.500 0.246
Dy 0.500 0.000 0.754
Cu 0.500 0.500 0.000
Si 0.000 0.000 0.500
Si 0.000 0.500 0.867
Si 0.500 0.000 0.133
Si 0.500 0.500 0.500
Pt 0.000 0.000 0.000
Pt 0.000 0.500 0.626
Pt 0.500 0.000 0.374

---

(12)
A relaxed Dy2CuSi3Pt4 crystal, computed with PBE.

Properties
Crystal system: tetragonal
ΔE_f (raw) (eV per atom): -1.00

Lattice parameters (Å, degrees): 4.197 4.197 9.929 90.00 90.00 90.00
Fractional coordinates of all 10 atoms:
Dy 0.000 0.500 0.241
Dy 0.500 0.000 0.759
Cu 0.500 0.500 0.000
Si 0.000 0.000 0.000
Si 0.000 0.500 0.632
Si 0.500 0.000 0.368
Pt 0.000 0.000 0.500
Pt 0.000 0.500 0.866
Pt 0.500 0.000 0.134
Pt 0.500 0.500 0.500